1.
Here is a relaxed Si2GeBr4 crystal from Alexandria via LeMat-Bulk. Energies are from PBE.

- Total magnetization: 0.0 μB per cell
- Final energy: -0.111 Ha/atom
- D(E_F): 8.4 states/eV per cell

Structure (CIF):
```
data_Si2GeBr4
_symmetry_space_group_name_H-M 'I 4/m m m'
_symmetry_Int_Tables_number 139
_symmetry_space_group_name_Hall '-I 4 2'
_cell_length_a 5.872
_cell_length_b 5.872
_cell_length_c 12.776
_cell_angle_alpha 90.00
_cell_angle_beta 90.00
_cell_angle_gamma 90.00
loop_
_atom_site_label
_atom_site_type_symbol
_atom_site_fract_x
_atom_site_fract_y
_atom_site_fract_z
_atom_site_occupancy
Si1 Si 0.000 0.000 0.090 1
Ge1 Ge 0.000 0.000 0.500 1
Br1 Br 0.000 0.000 0.282 1
Br2 Br 0.000 0.500 0.000 1
```

2.
Here is a relaxed Si2Ge2Br crystal from Alexandria via LeMat-Bulk. Energies are from PBE.

- Total magnetization: 0.0 μB per cell
- Final energy: -0.154 Ha/atom
- D(E_F): 3.1 states/eV per cell

Structure (CIF):
```
data_Si2Ge2Br
_symmetry_space_group_name_H-M 'I 4/m m m'
_symmetry_Int_Tables_number 139
_symmetry_space_group_name_Hall '-I 4 2'
_cell_length_a 3.660
_cell_length_b 3.660
_cell_length_c 15.885
_cell_angle_alpha 90.00
_cell_angle_beta 90.00
_cell_angle_gamma 90.00
loop_
_atom_site_label
_atom_site_type_symbol
_atom_site_fract_x
_atom_site_fract_y
_atom_site_fract_z
_atom_site_occupancy
Si1 Si 0.000 0.500 0.250 1
Ge1 Ge 0.000 0.000 0.124 1
Br1 Br 0.000 0.000 0.500 1
```

3.
Here is a relaxed Sm4SiGeBr2 crystal from Alexandria via LeMat-Bulk. Energies are from PBE.

- Total magnetization: 0.0 μB per cell
- Final energy: -0.189 Ha/atom
- D(E_F): 3.6 states/eV per cell

Structure (CIF):
```
data_Sm4SiGeBr2
_symmetry_space_group_name_H-M 'P 1 2/m 1'
_symmetry_Int_Tables_number 10
_symmetry_space_group_name_Hall '-P 2y'
_cell_length_a 7.343
_cell_length_b 4.249
_cell_length_c 7.606
_cell_angle_alpha 90.00
_cell_angle_beta 108.86
_cell_angle_gamma 90.00
loop_
_atom_site_label
_atom_site_type_symbol
_atom_site_fract_x
_atom_site_fract_y
_atom_site_fract_z
_atom_site_occupancy
Sm1 Sm 0.234 0.000 0.210 1
Sm2 Sm 0.260 0.500 0.789 1
Si1 Si 0.000 0.500 0.000 1
Ge1 Ge 0.500 0.000 0.000 1
Br1 Br 0.000 0.000 0.500 1
Br2 Br 0.500 0.500 0.500 1
```

4.
Here is a relaxed Sm6SiGe2Br3 crystal from Alexandria via LeMat-Bulk. Energies are from PBE.

- Total magnetization: 0.0 μB per cell
- Final energy: -0.188 Ha/atom
- D(E_F): 10.1 states/eV per cell

Structure (CIF):
```
data_Sm6SiGe2Br3
_symmetry_space_group_name_H-M 'C 1 2/m 1'
_symmetry_Int_Tables_number 12
_symmetry_space_group_name_Hall '-C 2y'
_cell_length_a 18.896
_cell_length_b 4.253
_cell_length_c 8.692
_cell_angle_alpha 90.00
_cell_angle_beta 105.16
_cell_angle_gamma 90.00
loop_
_atom_site_label
_atom_site_type_symbol
_atom_site_fract_x
_atom_site_fract_y
_atom_site_fract_z
_atom_site_occupancy
Sm1 Sm 0.007 0.000 0.225 1
Sm2 Sm 0.156 0.500 0.100 1
Sm3 Sm 0.175 0.500 0.561 1
Si1 Si 0.000 0.500 0.000 1
Ge1 Ge 0.167 0.000 0.332 1
Br1 Br 0.000 0.500 0.500 1
Br2 Br 0.167 0.000 0.833 1
```

5.
Here is a relaxed SrSi2GeBr crystal from Alexandria via LeMat-Bulk. Energies are from PBE.

- Total magnetization: 0.0 μB per cell
- Final energy: -0.137 Ha/atom
- D(E_F): 2.8 states/eV per cell

Structure (CIF):
```
data_SrSi2GeBr
_symmetry_space_group_name_H-M 'P 4/m m m'
_symmetry_Int_Tables_number 123
_symmetry_space_group_name_Hall '-P 4 2'
_cell_length_a 4.761
_cell_length_b 4.761
_cell_length_c 6.512
_cell_angle_alpha 90.00
_cell_angle_beta 90.00
_cell_angle_gamma 90.00
loop_
_atom_site_label
_atom_site_type_symbol
_atom_site_fract_x
_atom_site_fract_y
_atom_site_fract_z
_atom_site_occupancy
Sr1 Sr 0.000 0.000 0.000 1
Si1 Si 0.000 0.500 0.500 1
Ge1 Ge 0.000 0.000 0.500 1
Br1 Br 0.500 0.500 0.000 1
```

6.
Here is a relaxed ZrSiGe2Br crystal from Alexandria via LeMat-Bulk. Energies are from PBE.

- Total magnetization: 0.0 μB per cell
- Final energy: -0.160 Ha/atom
- D(E_F): 3.8 states/eV per cell

Structure (CIF):
```
data_ZrSiGe2Br
_symmetry_space_group_name_H-M 'P 4/m m m'
_symmetry_Int_Tables_number 123
_symmetry_space_group_name_Hall '-P 4 2'
_cell_length_a 4.748
_cell_length_b 4.748
_cell_length_c 5.014
_cell_angle_alpha 90.00
_cell_angle_beta 90.00
_cell_angle_gamma 90.00
loop_
_atom_site_label
_atom_site_type_symbol
_atom_site_fract_x
_atom_site_fract_y
_atom_site_fract_z
_atom_site_occupancy
Zr1 Zr 0.000 0.000 0.000 1
Si1 Si 0.500 0.500 0.500 1
Ge1 Ge 0.000 0.500 0.500 1
Br1 Br 0.500 0.500 0.000 1
```